The following is a PBEsol calculation of crystalline CaCo2Ru at its relaxed geometry, from the Alexandria database.

a b c (Å): 3.005 3.005 6.672
angles (deg): 90.00 90.00 90.00
Element x y z (fractional)
Ca1 0.000 0.000 0.000
Co1 0.500 0.500 0.314
Co2 0.500 0.500 0.686
Ru1 0.000 0.000 0.500

- ΔE to the lowest computed polymorph: 0.000 eV per formula unit
- ΔH_f (0 K): 385 meV/atom
- Crystal system: tetragonal
- Symmetry: P4/mmm, No. 123
- DOS(E_F): 4.1 states/eV/f.u.
- Volume: 15.06 A^3/atom



The following is a PBEsol calculation of crystalline CaCoRu2 at its relaxed geometry, from the Alexandria database.

a b c (Å): 4.364 4.364 4.364
angles (deg): 60.00 60.00 60.00
Element x y z (fractional)
Ca1 0.000 0.000 0.000
Co1 0.500 0.500 0.500
Ru1 0.250 0.250 0.250
Ru2 0.750 0.750 0.750

- ΔE to the lowest computed polymorph: 1.118 eV per formula unit
- ΔH_f (0 K): 691 meV/atom
- Crystal system: cubic
- Symmetry: Fm-3m, No. 225
- DOS(E_F): 3.8 states/eV/f.u.
- Volume: 14.69 A^3/atom



The following is a PBEsol calculation of crystalline CaCoRu2 at its relaxed geometry, from the Alexandria database.

a b c (Å): 4.335 4.335 3.107
angles (deg): 90.00 90.00 90.00
Element x y z (fractional)
Ca1 0.000 0.000 0.000
Co1 0.500 0.500 0.000
Ru1 0.000 0.500 0.500
Ru2 0.500 0.000 0.500

- ΔE to the lowest computed polymorph: 1.223 eV per formula unit
- ΔH_f (0 K): 718 meV/atom
- Crystal system: tetragonal
- Symmetry: P4/mmm, No. 123
- DOS(E_F): 5.4 states/eV/f.u.
- Volume: 14.59 A^3/atom



The following is a PBEsol calculation of crystalline CaCo2Ru at its relaxed geometry, from the Alexandria database.

a b c (Å): 2.925 2.925 6.941
angles (deg): 90.00 90.00 90.00
Element x y z (fractional)
Ca1 0.000 0.000 0.000
Co1 0.000 0.000 0.473
Co2 0.500 0.500 0.316
Ru1 0.500 0.500 0.679

- ΔE to the lowest computed polymorph: 0.124 eV per formula unit
- ΔH_f (0 K): 416 meV/atom
- Crystal system: tetragonal
- Symmetry: P4mm, No. 99
- DOS(E_F): 5.5 states/eV/f.u.
- Volume: 14.84 A^3/atom



The following is a PBEsol calculation of crystalline CaCo2Ru at its relaxed geometry, from the Alexandria database.

a b c (Å): 4.348 4.348 2.979
angles (deg): 90.00 90.00 90.00
Element x y z (fractional)
Ca1 0.000 0.000 0.000
Co1 0.000 0.500 0.500
Co2 0.500 0.000 0.500
Ru1 0.500 0.500 0.000

- ΔE to the lowest computed polymorph: 0.436 eV per formula unit
- ΔH_f (0 K): 494 meV/atom
- Crystal system: tetragonal
- Symmetry: P4/mmm, No. 123
- DOS(E_F): 2.7 states/eV/f.u.
- Volume: 14.08 A^3/atom



The following is a PBEsol calculation of crystalline CaCoRu2 at its relaxed geometry, from the Alexandria database.

a b c (Å): 2.745 4.144 5.570
angles (deg): 90.00 104.18 90.00
Element x y z (fractional)
Ca1 0.000 0.000 0.000
Co1 0.629 0.500 0.261
Ru1 0.320 0.500 0.643
Ru2 0.741 0.000 0.487

- ΔE to the lowest computed polymorph: 0.000 eV per formula unit
- ΔH_f (0 K): 412 meV/atom
- Crystal system: monoclinic
- Symmetry: Pm, No. 6
- DOS(E_F): 3.7 states/eV/f.u.
- Volume: 15.36 A^3/atom